[1]
The following is a PBE-GGA calculation of a relaxed MgInRuAu crystal, from Alexandria.

abc: 4.6025 4.6025 4.6025
angles: 60.00 60.00 60.00
With the nearest neighbours (Å) after each atom.
Atoms (fractional coordinates):
1 Au 0.2500 0.2500 0.2500  4 Mg 2.82, 4 In 2.82
2 Ru 0.7500 0.7500 0.7500  4 In 2.82, 4 Mg 2.82
3 In 0.0000 0.0000 0.0000  4 Ru 2.82, 4 Au 2.82
4 Mg 0.5000 0.5000 0.5000  4 Ru 2.82, 4 Au 2.82

Computed properties:
Energy: -4.348 eV/atom
Formation energy from the elements: -127 meV/atom
Spin magnetization: 0.00 Bohr magnetons per cell

[2]
The following is a PBE-GGA calculation of a relaxed PmPr2Sm7 crystal, from Alexandria.

abc: 5.1566 8.9364 9.6584
angles: 107.91 105.47 54.90
With the nearest neighbours (Å) after each atom.
Atoms (fractional coordinates):
1 Pm 0.0000 0.0000 0.0000  12 Sm 3.64-3.66
2 Sm 0.6995 0.7013 0.8014  7 Sm 3.63-3.67, 2 Pm 3.64, 3 Pr 3.65-3.68
3 Sm 0.2014 0.1990 0.8007  8 Sm 3.63-3.67, 2 Pm 3.64, 2 Pr 3.64-3.65
4 Sm 0.3005 0.2987 0.1986  7 Sm 3.63-3.67, 2 Pm 3.64, 3 Pr 3.65-3.68
5 Sm 0.1004 0.0991 0.3991  7 Sm 3.64-3.67, 1 Pm 3.64, 4 Pr 3.64-3.67
6 Sm 0.7986 0.8010 0.1993  8 Sm 3.63-3.67, 2 Pm 3.64, 2 Pr 3.64-3.65
7 Sm 0.8996 0.9009 0.6009  7 Sm 3.64-3.67, 1 Pm 3.64, 4 Pr 3.64-3.67
8 Sm 0.5000 0.5000 0.0000  2 Pr 3.64, 8 Sm 3.64-3.66, 2 Pm 3.66
9 Pr 0.4013 0.3995 0.6016  10 Sm 3.64-3.68, 2 Pr 3.67
10 Pr 0.5987 0.6005 0.3984  10 Sm 3.64-3.68, 2 Pr 3.67

Computed properties:
Energy: -4.720 eV/atom
Distance to the lowest polymorph of the same formula: 0.00 eV/f.u.
Formation energy from the elements: 14 meV/atom
Spin magnetization: 0.00 Bohr magnetons per cell

[3]
The following is a PBE-GGA calculation of a relaxed Li2CuMo crystal, from Alexandria.

abc: 6.7252 6.7252 5.3731
angles: 51.26 51.26 90.00
With the nearest neighbours (Å) after each atom.
Atoms (fractional coordinates):
1 Li 0.5962 0.1250 0.2500  2 Cu 2.33, 2 Li 2.53, 2 Mo 2.59
2 Li 0.1538 0.6250 0.2500  2 Cu 2.33, 2 Li 2.53, 2 Mo 2.59
3 Li 0.3750 0.4038 0.7500  2 Cu 2.33, 2 Li 2.53, 2 Mo 2.59
4 Li 0.8750 0.8462 0.7500  2 Cu 2.33, 2 Li 2.53, 2 Mo 2.59
5 Cu 0.5000 0.5000 0.0000  4 Li 2.33, 2 Mo 2.50
6 Cu 0.2500 0.7500 0.5000  4 Li 2.33, 2 Mo 2.50
7 Mo 0.0000 0.0000 0.0000  2 Cu 2.50, 4 Li 2.59
8 Mo 0.7500 0.2500 0.5000  2 Cu 2.50, 4 Li 2.59

Computed properties:
Energy: -3.887 eV/atom
Distance to the lowest polymorph of the same formula: 2.41 eV/f.u.
Formation energy from the elements: 802 meV/atom
Spin magnetization: 0.00 Bohr magnetons per cell

[4]
The following is a PBE-GGA calculation of a relaxed ReNiHRu2 crystal, from Alexandria.

abc: 3.8947 3.8947 3.7035
angles: 90.00 90.00 90.00
With the nearest neighbours (Å) after each atom.
Atoms (fractional coordinates):
1 Ru 0.0000 0.5000 0.0000  2 H 1.95
2 Ru 0.5000 0.0000 0.0000  2 H 1.95
3 Ni 0.0000 0.0000 0.5000  2 H 1.85
4 H 0.0000 0.0000 0.0000  2 Ni 1.85, 4 Ru 1.95
5 Re 0.5000 0.5000 0.5000  8 Ru 2.69, 4 Ni 2.75

Computed properties:
Energy: -7.876 eV/atom
Spin magnetization: 0.00 Bohr magnetons per cell

[5]
The following is a PBE-GGA calculation of a relaxed MgCrTe crystal, from Alexandria.

abc: 5.3486 5.3482 3.7428
angles: 69.52 69.51 40.96
With the nearest neighbours (Å) after each atom.
Atoms (fractional coordinates):
1 Te 0.3444 0.3444 0.6556  5 Mg 2.97-3.13, 5 Cr 2.98-3.28
2 Mg 0.6641 0.6641 0.3359  5 Te 2.97-3.13, 5 Cr 3.04-3.10
3 Cr 0.9915 0.9915 0.0085  5 Te 2.98-3.28, 5 Mg 3.04-3.10

Computed properties:
Energy: -4.619 eV/atom
Distance to the lowest polymorph of the same formula: 0.47 eV/f.u.
Spin magnetization: 3.94 Bohr magnetons per cell

[6]
The following is a PBE-GGA calculation of a relaxed TaSi2Os crystal, from Alexandria.

abc: 4.2728 4.2728 5.1999
angles: 79.16 79.16 39.67
With the nearest neighbours (Å) after each atom.
Atoms (fractional coordinates):
1 Ta 0.7500 0.7500 0.7500  6 Si 2.70-2.71, 2 Ta 2.90, 4 Os 2.98
2 Si 0.5059 0.5059 0.4611  3 Os 2.51-2.52, 2 Si 2.65, 3 Ta 2.70-2.71
3 Si 0.9941 0.9941 0.0389  3 Os 2.51-2.52, 2 Si 2.65, 3 Ta 2.70-2.71
4 Os 0.2500 0.2500 0.2500  6 Si 2.51-2.52

Computed properties:
Energy: -8.647 eV/atom
Spin magnetization: 0.00 Bohr magnetons per cell

[7]
The following is a PBE-GGA calculation of a relaxed DyMg2Ti crystal, from Alexandria.

abc: 4.6432 4.5092 4.5092
angles: 90.00 90.00 90.00
With the nearest neighbours (Å) after each atom.
Atoms (fractional coordinates):
1 Mg 0.0000 0.0000 0.5000  4 Mg 3.19, 4 Dy 3.24, 4 Ti 3.24
2 Mg 0.0000 0.5000 0.0000  4 Mg 3.19, 4 Dy 3.24, 4 Ti 3.24
3 Ti 0.5000 0.5000 0.5000  4 Dy 3.19, 8 Mg 3.24
4 Dy 0.5000 0.0000 0.0000  4 Ti 3.19, 8 Mg 3.24

Computed properties:
Energy: -3.761 eV/atom
Distance to the lowest polymorph of the same formula: 0.12 eV/f.u.
Formation energy from the elements: 161 meV/atom
Spin magnetization: 1.58 Bohr magnetons per cell

[8]
The following is a PBE-GGA calculation of a relaxed CeUSe2O crystal, from Alexandria.

abc: 4.0117 4.0117 13.8514
angles: 90.00 90.00 90.00
With the nearest neighbours (Å) after each atom.
Atoms (fractional coordinates):
1 Se 0.5000 0.0000 0.8872  5 U 2.84-2.94
2 Se 0.5000 0.0000 0.3040  1 U 2.83
3 Se 0.0000 0.5000 0.1128  5 U 2.84-2.94
4 Se 0.0000 0.5000 0.6960  1 U 2.83
5 U 0.0000 0.5000 0.9005  6 Se 2.83-2.94
6 U 0.5000 0.0000 0.0995  6 Se 2.83-2.94
7 O 0.0000 0.0000 0.5000  4 Ce 2.35
8 O 0.5000 0.5000 0.5000  4 Ce 2.35
9 Ce 0.5000 0.0000 0.5890  4 O 2.35
10 Ce 0.0000 0.5000 0.4110  4 O 2.35

Computed properties:
Energy: -7.874 eV/atom
Spin magnetization: 6.46 Bohr magnetons per cell

Please write out number 7 again, unchanged.
The following is a PBE-GGA calculation of a relaxed DyMg2Ti crystal, from Alexandria.

abc: 4.6432 4.5092 4.5092
angles: 90.00 90.00 90.00
With the nearest neighbours (Å) after each atom.
Atoms (fractional coordinates):
1 Mg 0.0000 0.0000 0.5000  4 Mg 3.19, 4 Dy 3.24, 4 Ti 3.24
2 Mg 0.0000 0.5000 0.0000  4 Mg 3.19, 4 Dy 3.24, 4 Ti 3.24
3 Ti 0.5000 0.5000 0.5000  4 Dy 3.19, 8 Mg 3.24
4 Dy 0.5000 0.0000 0.0000  4 Ti 3.19, 8 Mg 3.24

Computed properties:
Energy: -3.761 eV/atom
Distance to the lowest polymorph of the same formula: 0.12 eV/f.u.
Formation energy from the elements: 161 meV/atom
Spin magnetization: 1.58 Bohr magnetons per cell